No. 1
Material: TbCe2Er
Method: DFT, PBE
State: optimized geometry

Cell: 3.464 3.464 10.081 Å, 90.00 90.00 90.00°
Space group P4/mmm (No. 123)
Symmetry-distinct sites (fractional):
Tb 0.000 0.000 0.000 x1
Ce 0.500 0.500 0.251 x2
Er 0.000 0.000 0.500 x1

Calculated values
Energy above the most stable polymorph in this dataset   19 meV per atom

No. 2
Material: TiNb3Co
Method: DFT, PBE
State: optimized geometry

Cell: 4.624 4.624 4.624 Å, 90.00 90.00 90.00°
Space group Pm-3m (No. 221)
Symmetry-distinct sites (fractional):
Ti 0.000 0.000 0.000 x1
Nb 0.000 0.000 0.500 x3
Co 0.500 0.500 0.500 x1

Calculated values
Energy above the most stable polymorph in this dataset   852 meV per atom

No. 3
Material: ZrRu2Rh
Method: DFT, PBE
State: optimized geometry

Cell: 9.274 2.898 4.802 Å, 90.00 101.31 90.00°
Space group Cm (No. 8)
Symmetry-distinct sites (fractional):
Zr 0.000 0.000 0.000 x2
Ru 0.258 0.500 0.299 x2
Ru 0.497 0.000 0.485 x2
Rh 0.244 0.000 0.756 x2

Calculated values
Calculated total energy   -8.81 eV per atom

No. 4
Material: BaMg2Zr
Method: DFT, PBE
State: optimized geometry

Cell: 8.904 8.904 6.493 Å, 90.00 90.00 90.00°
Space group I-42d (No. 122)
Symmetry-distinct sites (fractional):
Ba 0.000 0.000 0.000 x4
Mg 0.209 0.250 0.625 x8
Zr 0.000 0.000 0.500 x4

Calculated values
Energy above the most stable polymorph in this dataset   466 meV per atom

No. 5
Material: AcPm2Au
Method: DFT, PBE
State: optimized geometry

Cell: 3.7182 3.7182 35.3214 Å, 90.00 90.00 120.00°
Space group R-3m (No. 166, hexagonal axes)
Symmetry-distinct sites (fractional):
Ac 0.0000 0.0000 0.0000 x3
Pm 0.0000 0.0000 0.4192 x6
Au 0.0000 0.0000 0.5000 x3

Calculated values
Energy above the most stable polymorph in this dataset   555 meV per atom

No. 6
Material: PuCdIn2O6
Method: DFT, PBE
State: optimized geometry

Cell: 5.7048 5.7048 15.0988 Å, 90.00 90.00 120.00°
Space group R3 (No. 146, hexagonal axes)
Symmetry-distinct sites (fractional):
Pu 0.0000 0.0000 0.0000 x3
Cd 0.0000 0.0000 0.5110 x3
In 0.0000 0.0000 0.2960 x3
In 0.0000 0.0000 0.7894 x3
O 0.0108 0.3098 0.3954 x9
O 0.0230 0.7218 0.8988 x9

Calculated values
Formation energy from raw total energies   -1810 meV/atom

No. 7
Material: Cr2MoSe
Method: DFT, PBE
State: optimized geometry

Cell: 3.068 4.093 8.651 Å, 90.00 90.00 90.00°
Space group Immm (No. 71)
Symmetry-distinct sites (fractional):
Cr 0.000 0.000 0.244 x4
Mo 0.000 0.500 0.000 x2
Se 0.000 0.500 0.500 x2

Calculated values
Formation energy from raw total energies   296 meV/atom

No. 8
Material: LaY2Co
Method: DFT, PBE
State: optimized geometry

Cell: 3.478 3.478 9.079 Å, 90.00 90.00 90.00°
Space group P4mm (No. 99)
Symmetry-distinct sites (fractional):
La 0.000 0.000 0.000 x1
Y 0.000 0.000 0.633 x1
Y 0.500 0.500 0.329 x1
Co 0.500 0.500 0.808 x1

Calculated values
Energy above the most stable polymorph in this dataset   164 meV per atom